# 1
This record from the Alexandria database describes a crystal of Sc3In relaxed with PBEsol. The functional is SCAN.

abc: 5.028 6.150 5.743
angles: 90.00 90.00 90.00
Sites, in units of the cell vectors:
Sc 0.250 0.004 0.149
Sc 0.250 0.250 0.635
Sc 0.250 0.496 0.149
Sc 0.750 0.504 0.851
Sc 0.750 0.750 0.365
Sc 0.750 0.996 0.851
In 0.250 0.750 0.662
In 0.750 0.250 0.338

Output
For the calculated total energy, the calculation gives -0.7126 Ha/atom. The value obtained for the calculated formation energy is -366.8 meV per atom. As for the size of the total moment: 0.93 μB/f.u.


# 2
This record from the Alexandria database describes a crystal of ScIn2Se relaxed with PBEsol. The functional is SCAN.

abc: 8.699 8.699 8.699
angles: 24.08 24.08 24.08
Sites, in units of the cell vectors:
Sc 0.000 0.000 0.000
In 0.513 0.513 0.513
In 0.755 0.755 0.755
Se 0.272 0.272 0.272

Output
For the calculated total energy, the calculation gives -0.9524 Ha/atom. As for the size of the total moment: 0.00 μB/f.u.


# 3
This record from the Alexandria database describes a crystal of ScIn2Se relaxed with PBEsol. The functional is SCAN.

abc: 3.948 3.948 5.927
angles: 90.00 90.00 90.00
Sites, in units of the cell vectors:
Sc 0.000 0.000 0.000
In 0.000 0.500 0.500
In 0.500 0.000 0.500
Se 0.500 0.500 0.000

Output
For the calculated total energy, the calculation gives -0.9474 Ha/atom. As for the size of the total moment: 0.00 μB/f.u.


Repeat the third record exactly.
This record from the Alexandria database describes a crystal of ScIn2Se relaxed with PBEsol. The functional is SCAN.

abc: 3.948 3.948 5.927
angles: 90.00 90.00 90.00
Sites, in units of the cell vectors:
Sc 0.000 0.000 0.000
In 0.000 0.500 0.500
In 0.500 0.000 0.500
Se 0.500 0.500 0.000

Output
For the calculated total energy, the calculation gives -0.9474 Ha/atom. As for the size of the total moment: 0.00 μB/f.u.


- Which formula does entry 3 have?
  ScIn2Se